Compound: MnZnTe2
Source: Alexandria
Functional: PBE
Structure: optimized geometry

## Properties
uncorrected formation energy	0.140	eV/atom
SG	No. 65

Cell lengths 4.7064, 4.7064, 7.7618 Å; angles 90.00, 90.00, 131.10 degrees
Atoms (fractional coordinates):
Mn 0.0000 0.0000 0.0000
Zn 0.0000 0.0000 0.5000
Te 0.5000 0.5000 0.2435
Te 0.5000 0.5000 0.7565